No. 1
## Sr2ReO4 (GGA-PBE)

Data for a relaxed structure of Sr2ReO4.

```
Sr2ReO4
1.0
6.3749 0.0000 0.0000
0.0000 5.7909 0.0000
-2.0050 0.0000 6.5567
Sr Re O
4 2 8
Cartesian
1.1335 1.4477 0.1854
0.5314 1.4477 3.6647
3.8386 4.3432 2.8920
3.2364 4.3432 6.3713
0.1262 4.3432 5.2231
4.2437 1.4477 1.3336
-1.4093 3.1105 4.8955
-1.4093 5.5758 4.8955
2.6294 4.3432 0.4178
1.6774 4.3432 4.2259
2.6926 1.4477 2.3308
1.7405 1.4477 6.1389
5.7793 0.2150 1.6612
5.7793 2.6804 1.6612
```

Output
Formation energy without anion corrections   -193 kJ per mole of atoms
Space group   P2_1/m, No. 11
Spin magnetization   2.0 μB per cell
Calculated total energy   -7.094 eV/atom
Mass density   5.8 g/cm³

---

No. 2
## U2CoAs3 (GGA-PBE)

Data for a relaxed structure of U2CoAs3.

```
U2CoAs3
1.0
-1.9712 2.8321 5.5336
1.9712 -2.8321 5.5336
1.9712 2.8321 -5.5336
U Co As
2 1 3
Cartesian
0.0000 0.0000 2.0256
0.0000 0.0000 9.0415
0.0000 0.0000 5.5336
1.9712 0.0000 0.0000
1.9712 0.0000 4.0839
0.0000 2.8321 1.4496
```

Output
Formation energy   -0.342 eV/atom
Space group   Immm, No. 71
Spin magnetization   5.1 μB per cell
Calculated total energy   -7.614 eV/atom
Mass density   10.2 g/cm³

---

No. 3
## Sr2HgMo (GGA-PBE)

Data for a relaxed structure of Sr2HgMo.

```
Sr2HgMo
1.0
4.8568 -1.8537 0.0000
4.8568 1.8537 0.0000
-1.3302 0.0000 7.3095
Sr Hg Mo
2 1 1
Cartesian
2.1034 0.0000 1.7437
6.2799 0.0000 5.5658
-0.6651 0.0000 3.6548
4.8568 0.0000 0.0000
```

Output
Formation energy   0.736 eV/atom
Space group   C2/m, No. 12
Spin magnetization   3.2 μB per cell
Calculated total energy   -2.888 eV/atom
Mass density   6.0 g/cm³

---

No. 4
## PrCdNiPt (GGA-PBE)

Data for a relaxed structure of PrCdNiPt.

```
PrCdNiPt
1.0
0.0000 3.4277 3.4277
3.4277 0.0000 3.4277
3.4277 3.4277 0.0000
Pr Cd Ni Pt
1 1 1 1
Cartesian
0.0000 0.0000 0.0000
3.4277 3.4277 3.4277
5.1416 5.1416 5.1416
1.7139 1.7139 1.7139
```

Output
Formation energy   -0.419 eV/atom
Space group   F-43m, No. 216
Spin magnetization   0.0 μB per cell
Calculated total energy   -4.799 eV/atom
Mass density   10.5 g/cm³

---

No. 5
## UVFe (GGA-PBE)

Data for a relaxed structure of UVFe.

```
UVFe
1.0
4.2637 0.0000 0.0000
-2.1318 3.6924 0.0000
0.0000 0.0000 2.7350
U V Fe
1 1 1
Cartesian
0.0000 0.0000 0.0000
0.0000 2.4616 2.1747
2.1318 1.2308 0.8086
```

Output
Formation energy   0.141 eV/atom
Space group   P3m1, No. 156
Spin magnetization   0.0 μB per cell
Calculated total energy   -9.483 eV/atom
Mass density   13.3 g/cm³

---

No. 6
## CePm2SmTe5 (GGA-PBE)

Data for a relaxed structure of CePm2SmTe5.

```
CePm2SmTe5
1.0
5.6347 0.0000 0.0000
0.0000 5.6347 0.0000
0.0000 0.0000 11.9652
Ce Pm Sm Te
1 2 1 5
Cartesian
0.0000 0.0000 0.0000
2.8174 2.8174 4.1805
2.8174 2.8174 7.7847
0.0000 0.0000 5.9826
0.0000 0.0000 2.9902
0.0000 0.0000 8.9750
0.0000 2.8174 5.9826
2.8174 0.0000 5.9826
2.8174 2.8174 0.0000
```

Output
Formation energy without anion corrections   -72 kJ per mole of atoms
Space group   P4/mmm, No. 123
Spin magnetization   1.7 μB per cell
Calculated total energy   -4.731 eV/atom
Mass density   5.3 g/cm³

---

No. 7
## La2PaMnS6 (GGA-PBE)

Data for a relaxed structure of La2PaMnS6.

```
La2PaMnS6
1.0
6.6866 0.0000 0.0000
0.0000 6.6866 0.0000
0.0000 0.0000 5.4154
La Pa Mn S
2 1 1 6
Cartesian
0.0000 3.3433 0.0000
3.3433 0.0000 0.0000
0.0000 0.0000 3.3667
3.3433 3.3433 3.9344
0.0000 0.0000 0.7168
1.7878 1.7878 3.6567
1.7878 4.8989 3.6567
3.3433 3.3433 0.8901
4.8989 1.7878 3.6567
4.8989 4.8989 3.6567
```

Output
Formation energy without anion corrections   -137 kJ per mole of atoms
Space group   P4mm, No. 99
Spin magnetization   1.2 μB per cell
Calculated total energy   -6.752 eV/atom
Mass density   5.2 g/cm³

---

No. 8
## PrTmAs (GGA-PBE)

Data for a relaxed structure of PrTmAs.

```
PrTmAs
1.0
4.4797 -5.4232 0.0000
4.4797 5.4232 0.0000
0.0000 0.0000 7.5070
Pr Tm As
4 4 4
Cartesian
1.8322 0.0000 0.0000
2.6475 0.0000 3.7535
6.3119 0.0000 3.7535
7.1272 0.0000 0.0000
4.4797 3.2467 4.9906
4.4797 2.1765 1.2371
4.4797 -2.1765 6.2699
4.4797 -3.2467 2.5164
4.4797 4.7302 2.2832
4.4797 0.6930 6.0367
4.4797 -0.6930 1.4703
4.4797 -4.7302 5.2238
```

Output
Formation energy   -0.734 eV/atom
Space group   Cmce, No. 64
Spin magnetization   0.0 μB per cell
Calculated total energy   -5.368 eV/atom
Mass density   7.0 g/cm³